1.
Y2HoSb: optimized geometry, PBE-GGA.

```
Y2HoSb
1.0
4.755 0.000 0.000
0.000 4.807 0.000
0.000 0.000 4.807
Ho Sb Y
1 1 2
direct
0.500 0.500 0.500
0.500 0.000 0.000
0.000 0.000 0.500
0.000 0.500 0.000
```

Properties
The total energy comes out at -5.87 eV per atom. The uncorrected formation energy comes out at -0.466 eV per atom. The total magnetic moment is 0.0 μB/f.u. Its space-group type is No. 123. The calculation puts the energy above the most stable polymorph in this dataset at 111 meV/atom.

2.
SrSiRu: optimized geometry, PBE-GGA.

```
SrSiRu
1.0
-0.736 -4.267 -1.945
3.433 -3.276 0.096
-0.448 -3.827 2.772
Sr Si Ru
1 1 1
direct
0.750 0.750 0.750
0.500 0.500 0.500
0.000 0.000 0.000
```

Properties
The total energy comes out at -4.05 eV per atom. The uncorrected formation energy comes out at 1.410 eV per atom. The total magnetic moment is 0.3 μB/f.u. Its space-group type is No. 216.

3.
BaLi2Mg9: optimized geometry, PBE-GGA.

```
BaLi2Mg9
1.0
3.982 0.000 0.000
0.000 9.435 0.000
0.000 -4.717 8.171
Mg Ba Li
9 1 2
direct
0.500 0.800 0.599
0.000 0.000 0.500
0.500 0.200 0.401
0.500 0.800 0.200
0.500 0.599 0.800
0.500 0.401 0.200
0.000 0.500 0.500
0.500 0.200 0.800
0.000 0.500 0.000
0.000 0.000 0.000
0.000 0.667 0.333
0.000 0.333 0.667
```

Properties
Its formation enthalpy at 0 K is 24 meV/atom. The total energy comes out at -1.65 eV per atom. The total magnetic moment is 0.0 μB/f.u. Its space-group type is No. 191. The calculation puts the energy above the most stable polymorph in this dataset at 89 meV/atom.

4.
CeSmHgPt: optimized geometry, PBE-GGA.

```
CeSmHgPt
1.0
5.210 0.000 0.000
2.605 4.512 0.000
2.605 1.504 4.254
Pt Ce Sm Hg
1 1 1 1
direct
0.750 0.750 0.750
0.500 0.500 0.500
0.000 0.000 0.000
0.250 0.250 0.250
```

Properties
Its formation enthalpy at 0 K is -655 meV/atom. The total energy comes out at -4.90 eV per atom. The total magnetic moment is 1.0 μB/f.u. Its space-group type is No. 216.

5.
La2Pr2In3: optimized geometry, PBE-GGA.

```
La2Pr2In3
1.0
4.557 0.000 0.605
0.000 3.636 0.000
0.620 0.000 12.803
In Pr La
3 2 2
direct
0.141 0.000 0.717
0.000 0.000 0.000
0.859 0.000 0.283
0.429 0.500 0.141
0.571 0.500 0.859
0.293 0.500 0.414
0.707 0.500 0.586
```

Properties
Its formation enthalpy at 0 K is -373 meV/atom. The total energy comes out at -4.32 eV per atom. The total magnetic moment is 0.0 μB/f.u. Its space-group type is No. 65. The calculation puts the energy above the most stable polymorph in this dataset at 24 meV/atom.